Below is a relaxed BeFeNi2 crystal, with properties calculated at the GGA-PBE level.

Values from the calculation:
- N(E_F) (states/eV/atom) = 0.830
- calculated density (g cm⁻³) = 7.2
- total magnetic moment (μB per formula unit) = 3.671
- energy of formation from the pure elements (eV/atom) = -0.11

a b c (Å): 3.3264 3.5377 3.5584
angles (deg): 90.00 90.00 90.00
Sites, in units of the cell vectors:
Be 0.0000 0.0000 0.0000
Fe 0.0000 0.5000 0.5000
Ni 0.5000 0.0000 0.5000
Ni 0.5000 0.5000 0.0000